No. 1
VASP calculation (GGA-PBE) on an optimized crystal structure of DyCrAs2Rh5.

Cell lengths 3.949, 3.949, 10.762 Å; angles 90.00, 90.00, 90.00 degrees
Space group P4/mmm (No. 123)
One atom of each set of equivalent atoms:
Dy 0.000 0.000 0.000 (multiplicity 1)
Cr 0.500 0.500 0.500 (multiplicity 1)
As 0.500 0.500 0.221 (multiplicity 2)
Rh 0.000 0.500 0.364 (multiplicity 4)
Rh 0.500 0.500 0.000 (multiplicity 1)

Properties
DOS at the Fermi energy	0.8068	states/eV/atom
magnetization	0.09	μB per atom
energy of formation from the pure elements	-0.17	eV/atom


No. 2
VASP calculation (GGA-PBE) on an optimized crystal structure of ErCrAs2.

Cell lengths 3.9098, 3.9098, 18.0120 Å; angles 90.00, 90.00, 120.00 degrees
Space group R-3m (No. 166, hexagonal axes)
One atom of each set of equivalent atoms:
Er 0.0000 0.0000 0.0000 (multiplicity 3)
Cr 0.0000 0.0000 0.5000 (multiplicity 3)
As 0.0000 0.0000 0.2368 (multiplicity 6)

Properties
DOS at the Fermi energy	0.2010	states/eV/atom
magnetization	0.70	μB per atom
energy of formation from the pure elements	-0.77	eV/atom


No. 3
VASP calculation (GGA-PBE) on an optimized crystal structure of ErCrAs3.

Cell lengths 11.898, 5.639, 5.578 Å; angles 90.00, 90.00, 90.00 degrees
Space group Pbcm (No. 57)
One atom of each set of equivalent atoms:
Er 0.187 0.005 0.250 (multiplicity 4)
Cr 0.409 0.750 0.000 (multiplicity 4)
As 0.002 0.750 0.000 (multiplicity 4)
As 0.280 0.000 0.750 (multiplicity 4)
As 0.431 0.108 0.250 (multiplicity 4)

Properties
DOS at the Fermi energy	0.4508	states/eV/atom
magnetization	0.31	μB per atom
energy of formation from the pure elements	-0.66	eV/atom